--- i ---
Here is an optimized crystal structure of KCaZn2 from the Alexandria database. Energies are from PBE-GGA.

a = 4.035 Å, b = 4.035 Å, c = 7.800 Å
α = 90.00°, β = 90.00°, γ = 90.00°
Space group P4/mmm (No. 123)
Asymmetric unit:
K 0.000 0.000 0.000
Ca 0.000 0.000 0.500
Zn 0.500 0.500 0.330

For the theoretical density, the calculation gives 2.75 g cm⁻³. For the volume, the calculation gives 127.01 Å³ per cell.

***

--- ii ---
Here is an optimized crystal structure of KCaZn2 from the Alexandria database. Energies are from PBE-GGA.

a = 10.267 Å, b = 4.550 Å, c = 7.604 Å
α = 90.00°, β = 123.25°, γ = 90.00°
Space group C2/m (No. 12)
Asymmetric unit:
K 0.000 0.000 0.000
Ca 0.000 0.500 0.500
Zn 0.226 0.000 0.550

For the theoretical density, the calculation gives 2.35 g cm⁻³. For the volume, the calculation gives 297.10 Å³ per cell.

***

--- iii ---
Here is an optimized crystal structure of KCaZn2 from the Alexandria database. Energies are from PBE-GGA.

a = 3.754 Å, b = 5.534 Å, c = 10.909 Å
α = 90.00°, β = 90.00°, γ = 90.00°
Space group Imm2 (No. 44)
Asymmetric unit:
K 0.000 0.000 0.000
Ca 0.000 0.500 0.198
Zn 0.000 0.000 0.434
Zn 0.000 0.500 0.771

For the theoretical density, the calculation gives 3.08 g cm⁻³. For the volume, the calculation gives 226.60 Å³ per cell.

***

--- iv ---
Here is an optimized crystal structure of KCaZn2 from the Alexandria database. Energies are from PBE-GGA.

a = 4.1876 Å, b = 4.1876 Å, c = 26.5766 Å
α = 90.00°, β = 90.00°, γ = 120.00°
Space group R-3m (No. 166, hexagonal axes)
Asymmetric unit:
K 0.0000 0.0000 0.0000
Ca 0.0000 0.0000 0.5000
Zn 0.0000 0.0000 0.2394

For the theoretical density, the calculation gives 2.59 g cm⁻³. For the volume, the calculation gives 403.60 Å³ per cell.

***

Most stable one: i, least stable one: iv.

***

--- i ---
Here is an optimized crystal structure of KCaZn2 from the Alexandria database. Energies are from PBE-GGA.

a = 4.675 Å, b = 4.675 Å, c = 10.585 Å
α = 90.00°, β = 90.00°, γ = 90.00°
Space group I-4m2 (No. 119)
Asymmetric unit:
K 0.000 0.000 0.000
Ca 0.000 0.500 0.250
Zn 0.000 0.000 0.500
Zn 0.000 0.500 0.750

For the theoretical density, the calculation gives 3.01 g cm⁻³. For the volume, the calculation gives 231.36 Å³ per cell.

***

--- ii ---
Here is an optimized crystal structure of KCaZn2 from the Alexandria database. Energies are from PBE-GGA.

a = 3.704 Å, b = 5.585 Å, c = 5.593 Å
α = 89.86°, β = 89.64°, γ = 89.97°
Space group P-1 (No. 2)
Asymmetric unit:
K 0.000 0.000 0.000
Ca 0.000 0.500 0.500
Zn 0.500 0.000 0.500
Zn 0.500 0.500 0.000

For the theoretical density, the calculation gives 3.01 g cm⁻³. For the volume, the calculation gives 115.71 Å³ per cell.

***

Most stable one: ii, least stable one: i.

***

--- i ---
Here is an optimized crystal structure of K2CaZr from the Alexandria database. Energies are from PBE-GGA.

a = 3.502 Å, b = 3.502 Å, c = 13.589 Å
α = 90.00°, β = 90.00°, γ = 90.00°
Space group P4/mmm (No. 123)
Asymmetric unit:
K 0.000 0.000 0.228
Ca 0.500 0.500 0.500
Zr 0.500 0.500 0.000

For the theoretical density, the calculation gives 2.09 g cm⁻³. For the volume, the calculation gives 166.63 Å³ per cell.

***

--- ii ---
Here is an optimized crystal structure of K2CaZr from the Alexandria database. Energies are from PBE-GGA.

a = 8.856 Å, b = 8.856 Å, c = 8.856 Å
α = 90.00°, β = 90.00°, γ = 90.00°
Space group F-43m (No. 216)
Asymmetric unit:
K 0.000 0.000 0.000
K 0.250 0.250 0.250
Ca 0.250 0.250 0.750
Zr 0.000 0.000 0.500

For the theoretical density, the calculation gives 2.00 g cm⁻³. For the volume, the calculation gives 694.48 Å³ per cell.

***

--- iii ---
Here is an optimized crystal structure of K2CaZr from the Alexandria database. Energies are from PBE-GGA.

a = 12.256 Å, b = 3.421 Å, c = 8.090 Å
α = 90.00°, β = 93.62°, γ = 90.00°
Space group Cm (No. 8)
Asymmetric unit:
K 0.000 0.000 0.000
K 0.244 0.000 0.727
Ca 0.258 0.500 0.298
Zr 0.494 0.000 0.449

For the theoretical density, the calculation gives 2.06 g cm⁻³. For the volume, the calculation gives 338.52 Å³ per cell.

***

Most stable one: iii, least stable one: ii.

***

--- i ---
Here is an optimized crystal structure of K2CaZr from the Alexandria database. Energies are from PBE-GGA.

a = 8.894 Å, b = 8.894 Å, c = 8.894 Å
α = 90.00°, β = 90.00°, γ = 90.00°
Space group Fm-3m (No. 225)
Asymmetric unit:
K 0.250 0.250 0.250
Ca 0.000 0.000 0.000
Zr 0.000 0.000 0.500

For the theoretical density, the calculation gives 1.98 g cm⁻³. For the volume, the calculation gives 703.57 Å³ per cell.

***

--- ii ---
Here is an optimized crystal structure of K2CaZr from the Alexandria database. Energies are from PBE-GGA.

a = 4.989 Å, b = 4.989 Å, c = 28.320 Å
α = 90.00°, β = 90.00°, γ = 90.00°
Space group I-42d (No. 122)
Asymmetric unit:
K 0.243 0.250 0.125
Ca 0.000 0.000 0.500
Zr 0.000 0.000 0.000

For the theoretical density, the calculation gives 1.97 g cm⁻³. For the volume, the calculation gives 704.94 Å³ per cell.

***

--- iii ---
Here is an optimized crystal structure of K2CaZr from the Alexandria database. Energies are from PBE-GGA.

a = 5.082 Å, b = 5.082 Å, c = 13.353 Å
α = 90.00°, β = 90.00°, γ = 90.00°
Space group I4/mmm (No. 139)
Asymmetric unit:
K 0.000 0.500 0.250
Ca 0.000 0.000 0.000
Zr 0.000 0.000 0.500

For the theoretical density, the calculation gives 2.02 g cm⁻³. For the volume, the calculation gives 344.92 Å³ per cell.

***

--- iv ---
Here is an optimized crystal structure of K2CaZr from the Alexandria database. Energies are from PBE-GGA.

a = 3.644 Å, b = 6.030 Å, c = 14.354 Å
α = 90.00°, β = 90.00°, γ = 90.00°
Space group Cmmm (No. 65)
Asymmetric unit:
K 0.000 0.000 0.234
Ca 0.000 0.500 0.500
Zr 0.000 0.500 0.000

For the theoretical density, the calculation gives 2.21 g cm⁻³. For the volume, the calculation gives 315.46 Å³ per cell.

***

Most stable one: iv, least stable one: i.

***

--- i ---
Here is an optimized crystal structure of K2CaZr from the Alexandria database. Energies are from PBE-GGA.

a = 3.5996 Å, b = 3.5996 Å, c = 42.5037 Å
α = 90.00°, β = 90.00°, γ = 120.00°
Space group R-3m (No. 166, hexagonal axes)
Asymmetric unit:
K 0.0000 0.0000 0.2447
Ca 0.0000 0.0000 0.0000
Zr 0.0000 0.0000 0.5000

For the theoretical density, the calculation gives 2.19 g cm⁻³. For the volume, the calculation gives 476.94 Å³ per cell.

***

--- ii ---
Here is an optimized crystal structure of K2CaZr from the Alexandria database. Energies are from PBE-GGA.

a = 5.092 Å, b = 5.133 Å, c = 12.972 Å
α = 90.00°, β = 90.00°, γ = 90.00°
Space group Cmm2 (No. 35)
Asymmetric unit:
K 0.000 0.000 0.000
K 0.000 0.500 0.314
Ca 0.000 0.000 0.591
Zr 0.000 0.500 0.767

For the theoretical density, the calculation gives 2.05 g cm⁻³. For the volume, the calculation gives 339.04 Å³ per cell.

***

--- iii ---
Here is an optimized crystal structure of K2CaZr from the Alexandria database. Energies are from PBE-GGA.

a = 14.164 Å, b = 3.576 Å, c = 6.564 Å
α = 90.00°, β = 98.18°, γ = 90.00°
Space group C2/m (No. 12)
Asymmetric unit:
K 0.242 0.000 0.238
Ca 0.000 0.000 0.500
Zr 0.000 0.500 0.000

For the theoretical density, the calculation gives 2.11 g cm⁻³. For the volume, the calculation gives 329.11 Å³ per cell.

***

Most stable one: ii, least stable one: iii.

***

--- i ---
Here is an optimized crystal structure of K2CaZr from the Alexandria database. Energies are from PBE-GGA.

a = 3.650 Å, b = 7.181 Å, c = 13.695 Å
α = 90.00°, β = 90.00°, γ = 90.00°
Space group Imm2 (No. 44)
Asymmetric unit:
K 0.000 0.000 0.000
K 0.000 0.500 0.230
Ca 0.000 0.000 0.453
Zr 0.000 0.500 0.750

For the theoretical density, the calculation gives 1.94 g cm⁻³. For the volume, the calculation gives 358.98 Å³ per cell.

***

--- ii ---
Here is an optimized crystal structure of K2CaZr from the Alexandria database. Energies are from PBE-GGA.

a = 5.087 Å, b = 5.087 Å, c = 6.679 Å
α = 90.00°, β = 90.00°, γ = 90.00°
Space group P4/mmm (No. 123)
Asymmetric unit:
K 0.000 0.500 0.000
Ca 0.000 0.000 0.500
Zr 0.500 0.500 0.500

For the theoretical density, the calculation gives 2.01 g cm⁻³. For the volume, the calculation gives 172.85 Å³ per cell.

***

Most stable one: i, least stable one: ii.

***

--- i ---
Here is an optimized crystal structure of KCaZr2 from the Alexandria database. Energies are from PBE-GGA.

a = 3.176 Å, b = 5.774 Å, c = 6.645 Å
α = 90.00°, β = 90.00°, γ = 90.00°
Space group Pmmm (No. 47)
Asymmetric unit:
K 0.000 0.000 0.000
Ca 0.000 0.000 0.500
Zr 0.500 0.500 0.277

For the theoretical density, the calculation gives 3.57 g cm⁻³. For the volume, the calculation gives 121.86 Å³ per cell.

***

--- ii ---
Here is an optimized crystal structure of KCaZr2 from the Alexandria database. Energies are from PBE-GGA.

a = 11.942 Å, b = 3.163 Å, c = 7.645 Å
α = 90.00°, β = 92.19°, γ = 90.00°
Space group C2/m (No. 12)
Asymmetric unit:
K 0.000 0.000 0.000
Ca 0.000 0.500 0.500
Zr 0.247 0.000 0.659

For the theoretical density, the calculation gives 3.01 g cm⁻³. For the volume, the calculation gives 288.57 Å³ per cell.

***

Most stable one: ii, least stable one: i.

***

--- i ---
Here is an optimized crystal structure of KCa3Zr from the Alexandria database. Energies are from PBE-GGA.

a = 6.255 Å, b = 6.255 Å, c = 6.255 Å
α = 90.00°, β = 90.00°, γ = 90.00°
Space group Pm-3m (No. 221)
Asymmetric unit:
K 0.000 0.000 0.000
Ca 0.000 0.500 0.500
Zr 0.500 0.500 0.500

For the theoretical density, the calculation gives 1.70 g cm⁻³. For the volume, the calculation gives 244.78 Å³ per cell.

***

--- ii ---
Here is an optimized crystal structure of KCa3Zr from the Alexandria database. Energies are from PBE-GGA.

a = 5.718 Å, b = 5.718 Å, c = 5.718 Å
α = 90.00°, β = 90.00°, γ = 90.00°
Space group Pm-3m (No. 221)
Asymmetric unit:
K 0.000 0.000 0.000
Ca 0.000 0.000 0.500
Zr 0.500 0.500 0.500

For the theoretical density, the calculation gives 2.23 g cm⁻³. For the volume, the calculation gives 186.97 Å³ per cell.

***

Most stable one: i, least stable one: ii.

***

--- i ---
Here is an optimized crystal structure of CaLa2 from the Alexandria database. Energies are from PBE-GGA.

a = 8.4969 Å, b = 8.4969 Å, c = 5.7679 Å
α = 90.00°, β = 90.00°, γ = 120.00°
Space group P-62m (No. 189)
Asymmetric unit:
Ca 0.0000 0.0000 0.0000
Ca 0.3333 0.6667 0.5000
La 0.0000 0.2278 0.5000
La 0.0000 0.5525 0.0000

For the theoretical density, the calculation gives 4.39 g cm⁻³. For the volume, the calculation gives 360.64 Å³ per cell.

***

--- ii ---
Here is an optimized crystal structure of CaLa2 from the Alexandria database. Energies are from PBE-GGA.

a = 3.786 Å, b = 3.786 Å, c = 16.219 Å
α = 90.00°, β = 90.00°, γ = 90.00°
Space group I4/mmm (No. 139)
Asymmetric unit:
Ca 0.000 0.000 0.000
La 0.000 0.000 0.325

For the theoretical density, the calculation gives 4.54 g cm⁻³. For the volume, the calculation gives 232.44 Å³ per cell.

***

Most stable one: ii, least stable one: i.

***

--- i ---
Here is an optimized crystal structure of CaLa from the Alexandria database. Energies are from PBE-GGA.

a = 4.290 Å, b = 4.290 Å, c = 4.290 Å
α = 90.00°, β = 90.00°, γ = 90.00°
Space group Pm-3m (No. 221)
Asymmetric unit:
Ca 0.000 0.000 0.000
La 0.500 0.500 0.500

For the theoretical density, the calculation gives 3.76 g cm⁻³. For the volume, the calculation gives 78.96 Å³ per cell.

***

--- ii ---
Here is an optimized crystal structure of CaLa from the Alexandria database. Energies are from PBE-GGA.

a = 6.0433 Å, b = 6.0433 Å, c = 10.4575 Å
α = 90.00°, β = 90.00°, γ = 120.00°
Space group P6_3/mmc (No. 194)
Asymmetric unit:
Ca 0.0000 0.0000 0.2500
Ca 0.3333 0.6667 0.2500
La 0.3333 0.6667 0.5899

For the theoretical density, the calculation gives 3.59 g cm⁻³. For the volume, the calculation gives 330.75 Å³ per cell.

***

Most stable one: i, least stable one: ii.